# FeTe2Cl (PBE, optimized geometry)
data_FeTe2Cl
_chemical_formula_sum 'Fe1 Te2 Cl1'
_symmetry_space_group_name_H-M 'P 1'
_symmetry_Int_Tables_number 1
_cell_length_a 4.818
_cell_length_b 4.818
_cell_length_c 4.818
_cell_angle_alpha 60.00
_cell_angle_beta 60.00
_cell_angle_gamma 60.00
loop_
_symmetry_equiv_pos_as_xyz
'x,y,z'
loop_
_atom_site_label
_atom_site_fract_x
_atom_site_fract_y
_atom_site_fract_z
_atom_site_occupancy
Fe1 0.000 0.000 0.000 1
Te1 0.250 0.250 0.250 1
Te2 0.750 0.750 0.750 1
Cl1 0.500 0.500 0.500 1
# Crystal system: cubic


# FeTeCl2 (PBE, optimized geometry)
data_FeTeCl2
_chemical_formula_sum 'Fe1 Te1 Cl2'
_symmetry_space_group_name_H-M 'P 1'
_symmetry_Int_Tables_number 1
_cell_length_a 6.756
_cell_length_b 6.756
_cell_length_c 6.751
_cell_angle_alpha 113.92
_cell_angle_beta 113.92
_cell_angle_gamma 26.40
loop_
_symmetry_equiv_pos_as_xyz
'x,y,z'
loop_
_atom_site_label
_atom_site_fract_x
_atom_site_fract_y
_atom_site_fract_z
_atom_site_occupancy
Fe1 0.000 0.000 0.000 1
Te1 0.348 0.348 0.672 1
Cl1 0.475 0.475 0.247 1
Cl2 0.639 0.639 0.001 1
# Crystal system: monoclinic


# FeTe2Cl (PBE, optimized geometry)
data_FeTe2Cl
_chemical_formula_sum 'Fe1 Te2 Cl1'
_symmetry_space_group_name_H-M 'P 1'
_symmetry_Int_Tables_number 1
_cell_length_a 6.484
_cell_length_b 6.484
_cell_length_c 6.484
_cell_angle_alpha 150.96
_cell_angle_beta 131.44
_cell_angle_gamma 57.58
loop_
_symmetry_equiv_pos_as_xyz
'x,y,z'
loop_
_atom_site_label
_atom_site_fract_x
_atom_site_fract_y
_atom_site_fract_z
_atom_site_occupancy
Fe1 0.000 0.000 0.000 1
Te1 0.181 0.681 0.500 1
Te2 0.819 0.319 0.500 1
Cl1 0.500 0.500 0.000 1
# Crystal system: orthorhombic


# FeTeCl2 (PBE, optimized geometry)
data_FeTeCl2
_chemical_formula_sum 'Fe1 Te1 Cl2'
_symmetry_space_group_name_H-M 'P 1'
_symmetry_Int_Tables_number 1
_cell_length_a 8.588
_cell_length_b 8.588
_cell_length_c 8.588
_cell_angle_alpha 24.21
_cell_angle_beta 24.21
_cell_angle_gamma 24.21
loop_
_symmetry_equiv_pos_as_xyz
'x,y,z'
loop_
_atom_site_label
_atom_site_fract_x
_atom_site_fract_y
_atom_site_fract_z
_atom_site_occupancy
Fe1 0.000 0.000 0.000 1
Te1 0.267 0.267 0.267 1
Cl1 0.518 0.518 0.518 1
Cl2 0.718 0.718 0.718 1
# Crystal system: trigonal


# Fe2TeCl6 (PBE, optimized geometry)
data_Fe2TeCl6
_chemical_formula_sum 'Fe4 Te2 Cl12'
_symmetry_space_group_name_H-M 'P 1'
_symmetry_Int_Tables_number 1
_cell_length_a 11.523
_cell_length_b 11.523
_cell_length_c 4.892
_cell_angle_alpha 101.74
_cell_angle_beta 101.74
_cell_angle_gamma 81.34
loop_
_symmetry_equiv_pos_as_xyz
'x,y,z'
loop_
_atom_site_label
_atom_site_fract_x
_atom_site_fract_y
_atom_site_fract_z
_atom_site_occupancy
Fe1 0.074 0.268 0.168 1
Fe2 0.268 0.074 0.668 1
Fe3 0.732 0.926 0.332 1
Fe4 0.926 0.732 0.832 1
Te1 0.454 0.546 0.250 1
Te2 0.546 0.454 0.750 1
Cl1 0.082 0.204 0.645 1
Cl2 0.118 0.699 0.904 1
Cl3 0.173 0.420 0.294 1
Cl4 0.204 0.082 0.145 1
Cl5 0.301 0.882 0.596 1
Cl6 0.420 0.173 0.794 1
Cl7 0.580 0.827 0.206 1
Cl8 0.699 0.118 0.404 1
Cl9 0.796 0.918 0.855 1
Cl10 0.827 0.580 0.706 1
Cl11 0.882 0.301 0.096 1
Cl12 0.918 0.796 0.355 1
# Crystal system: monoclinic


# FeTeCl2 (PBE, optimized geometry)
data_FeTeCl2
_chemical_formula_sum 'Fe1 Te1 Cl2'
_symmetry_space_group_name_H-M 'P 1'
_symmetry_Int_Tables_number 1
_cell_length_a 3.235
_cell_length_b 3.235
_cell_length_c 8.557
_cell_angle_alpha 90.00
_cell_angle_beta 90.00
_cell_angle_gamma 90.00
loop_
_symmetry_equiv_pos_as_xyz
'x,y,z'
loop_
_atom_site_label
_atom_site_fract_x
_atom_site_fract_y
_atom_site_fract_z
_atom_site_occupancy
Fe1 0.000 0.000 0.000 1
Te1 0.500 0.500 0.217 1
Cl1 0.000 0.000 0.449 1
Cl2 0.500 0.500 0.840 1
# Crystal system: tetragonal


# FeTe2Cl (PBE, optimized geometry)
data_FeTe2Cl
_chemical_formula_sum 'Fe1 Te2 Cl1'
_symmetry_space_group_name_H-M 'P 1'
_symmetry_Int_Tables_number 1
_cell_length_a 3.381
_cell_length_b 3.381
_cell_length_c 7.675
_cell_angle_alpha 90.00
_cell_angle_beta 90.00
_cell_angle_gamma 90.31
loop_
_symmetry_equiv_pos_as_xyz
'x,y,z'
loop_
_atom_site_label
_atom_site_fract_x
_atom_site_fract_y
_atom_site_fract_z
_atom_site_occupancy
Fe1 0.000 0.000 0.000 1
Te1 0.500 0.500 0.193 1
Te2 0.500 0.500 0.807 1
Cl1 0.000 0.000 0.500 1
# Crystal system: orthorhombic


# FeTe2Cl (PBE, optimized geometry)
data_FeTe2Cl
_chemical_formula_sum 'Fe2 Te4 Cl2'
_symmetry_space_group_name_H-M 'P 1'
_symmetry_Int_Tables_number 1
_cell_length_a 7.155
_cell_length_b 7.155
_cell_length_c 7.155
_cell_angle_alpha 125.02
_cell_angle_beta 125.02
_cell_angle_gamma 81.50
loop_
_symmetry_equiv_pos_as_xyz
'x,y,z'
loop_
_atom_site_label
_atom_site_fract_x
_atom_site_fract_y
_atom_site_fract_z
_atom_site_occupancy
Fe1 0.000 0.000 0.000 1
Fe2 0.750 0.250 0.500 1
Te1 0.033 0.625 0.908 1
Te2 0.375 0.283 0.408 1
Te3 0.717 0.125 0.092 1
Te4 0.875 0.967 0.592 1
Cl1 0.250 0.750 0.500 1
Cl2 0.500 0.500 0.000 1
# Crystal system: tetragonal


Energy relative to the elements, uncorrected (kJ/mol of formula units)
206; -135; 39; -96; -495; 8; 26; 30